# 1
! PBE-GGA SmNi6, optimized geometry; values from VASP
! Final energy = -162.4 eV per cell
! Formation energy = -0.170 eV per atom
! Magnetic moment = 0.251 μB/atom
&SYSTEM
  ibrav = 0, nat = 28, ntyp = 2
/
ATOMIC_SPECIES
Sm 150.36 Sm.upf
Ni 58.69 Ni.upf
ATOMIC_POSITIONS crystal
Sm 0.750 0.240 0.939
Sm 0.250 0.760 0.061
Sm 0.750 0.740 0.561
Sm 0.250 0.260 0.439
Ni 0.750 0.603 0.018
Ni 0.250 0.397 0.982
Ni 0.750 0.103 0.482
Ni 0.250 0.897 0.518
Ni 0.006 0.432 0.191
Ni 0.506 0.568 0.809
Ni 0.494 0.932 0.309
Ni 0.994 0.068 0.691
Ni 0.994 0.568 0.809
Ni 0.494 0.432 0.191
Ni 0.506 0.068 0.691
Ni 0.006 0.932 0.309
Ni 0.250 0.149 0.148
Ni 0.750 0.851 0.852
Ni 0.250 0.649 0.352
Ni 0.750 0.351 0.648
Ni 0.250 0.819 0.758
Ni 0.750 0.181 0.242
Ni 0.250 0.319 0.742
Ni 0.750 0.681 0.258
Ni 0.250 0.564 0.594
Ni 0.750 0.436 0.406
Ni 0.250 0.064 0.906
Ni 0.750 0.936 0.094
CELL_PARAMETERS angstrom
-1.172 -4.446 -1.639
2.857 -3.166 6.547
-8.848 0.771 4.235


# 2
! PBE-GGA Be2CuHg, optimized geometry; values from VASP
! Final energy = -11.0 eV per cell
! Formation energy = 0.221 eV per atom
! Magnetic moment = 0.000 μB/atom
&SYSTEM
  ibrav = 0, nat = 4, ntyp = 3
/
ATOMIC_SPECIES
Be 9.01 Be.upf
Hg 200.59 Hg.upf
Cu 63.55 Cu.upf
ATOMIC_POSITIONS crystal
Be 0.000 0.000 0.055
Be 0.000 0.000 0.445
Hg 0.500 0.500 0.750
Cu 0.500 0.500 0.250
CELL_PARAMETERS angstrom
-1.639 -2.395 0.039
2.236 -1.514 1.065
-1.751 1.288 5.506


# 3
! PBE-GGA BeNi2WN, optimized geometry; values from VASP
! Formation energy from raw total energies = 2.58 eV per atom
! Final energy = -23.7 eV per cell
! Magnetic moment = 0.294 μB/atom
&SYSTEM
  ibrav = 0, nat = 5, ntyp = 4
/
ATOMIC_SPECIES
Ni 58.69 Ni.upf
Be 9.01 Be.upf
W 183.84 W.upf
N 14.01 N.upf
ATOMIC_POSITIONS crystal
Ni 0.000 0.000 0.500
Ni 0.500 0.000 0.000
Be 0.000 0.500 0.000
W 0.000 0.000 0.000
N 0.500 0.500 0.500
CELL_PARAMETERS angstrom
4.492 0.000 0.000
0.000 4.498 0.000
0.000 0.000 4.492